Compound: Ce2CuC
Source: the Alexandria database
Functional: PBE
Structure: relaxed

The structure belongs to space group P4/mmm (No. 123); the cell edges are 3.2130, 3.2130 and 6.8978 Å and the angles 90.00°, 90.00° and 90.00°. The asymmetric unit holds Ce at (0.0000, 0.0000, 0.1983), Cu at (0.5000, 0.5000, 0.5000) and C at (0.5000, 0.5000, 0.0000).

Its energy above the most stable polymorph in this dataset is 0.00 eV per formula unit. The value obtained for the density of states at the Fermi level is 7.3 states/eV per cell. The formation energy comes out at 0.21 eV/f.u. The value obtained for the magnetic moment is 0.0 Bohr magnetons per cell.